Entry 1:
SmLuPt: optimized geometry, GGA-PBE.

```
SmLuPt
1.0
-0.522 -4.368 1.777
-3.973 -2.449 -0.854
0.108 -3.764 -2.886
Lu Pt Sm
1 1 1
Direct
0.000 0.000 0.000
0.250 0.250 0.250
0.750 0.750 0.750
```

Calculated values
size of the total moment = 0.000 μB/f.u.
ΔE to the lowest computed polymorph = 0.0 meV/atom
energy of formation = -0.155 eV/atom

=====

Entry 2:
Sm2Lu2Pt: optimized geometry, GGA-PBE.

```
Sm2Lu2Pt
1.0
5.798 0.000 0.000
0.000 11.725 0.000
0.000 0.000 4.350
Lu Pt Sm
4 2 4
Direct
0.138 0.127 0.500
0.638 0.373 0.500
0.362 0.627 0.500
0.862 0.873 0.500
0.000 0.000 0.000
0.500 0.500 0.000
0.611 0.144 0.000
0.111 0.356 0.000
0.889 0.644 0.000
0.389 0.856 0.000
```

Calculated values
size of the total moment = 0.019 μB/f.u.
energy of formation = -0.440 eV/atom

=====

Entry 3:
Lu2SnPt: optimized geometry, GGA-PBE.

```
Lu2SnPt
1.0
2.786 -2.863 -3.006
1.532 -4.500 1.548
-1.948 -4.136 -2.023
Lu Pt Sn
2 1 1
Direct
0.000 0.000 0.000
0.750 0.750 0.750
0.250 0.250 0.250
0.500 0.500 0.500
```

Calculated values
size of the total moment = 0.025 μB/f.u.
VASP energy = -5.20 eV/atom

=====

Repeat the second record exactly.
Sm2Lu2Pt: optimized geometry, GGA-PBE.

```
Sm2Lu2Pt
1.0
5.798 0.000 0.000
0.000 11.725 0.000
0.000 0.000 4.350
Lu Pt Sm
4 2 4
Direct
0.138 0.127 0.500
0.638 0.373 0.500
0.362 0.627 0.500
0.862 0.873 0.500
0.000 0.000 0.000
0.500 0.500 0.000
0.611 0.144 0.000
0.111 0.356 0.000
0.889 0.644 0.000
0.389 0.856 0.000
```

Calculated values
size of the total moment = 0.019 μB/f.u.
energy of formation = -0.440 eV/atom